Density functional theory data (PBE-GGA) for a geometry-optimized Dy4ZnPt structure.

Calculated values
Polymorph energy (0 for the lowest one) (eV per atom): 0.165
D(E_F) (states/eV/f.u.): 7.930
DFT formation energy (eV per atom): -0.418
Calculated density (g cm⁻³): 9.1

Cell lengths 4.882, 4.883, 6.985 Å; angles 90.01, 90.00, 90.00 degrees
Fractional coordinates of all 6 atoms:
Pt  0.501  0.497  0.998
Dy  0.001  0.497  0.241
Dy  0.501  0.997  0.241
Dy  0.501  0.998  0.755
Dy  0.001  0.498  0.755
Zn  0.001  0.997  0.498